(1)
TbCu5Ni2 | PBE | relaxed

Values from the calculation:
space group	Immm (71)
DFT formation energy	-0.06	eV/atom

a = 3.7276 Å, b = 5.8906 Å, c = 5.8906 Å
α = 74.41°, β = 71.55°, γ = 71.55°
Sites, in units of the cell vectors:
Cu: 0.6524 0.5258 0.1693
Ni: 0.2722 0.2278 0.2278
Cu: 0.0000 0.5000 0.5000
Cu: 0.3476 0.8307 0.4742
Cu: 0.6524 0.1693 0.5258
Ni: 0.7278 0.7722 0.7722
Cu: 0.3476 0.4742 0.8307
Tb: 0.0000 0.0000 0.0000


(2)
MoP2S2 | PBE | relaxed

Values from the calculation:
space group	P4/mmm (123)
E above lowest polymorph	84.5	meV/atom
E_form (uncorrected)	0.676	eV per atom

a = 4.5426 Å, b = 4.5426 Å, c = 5.0202 Å
α = 90.00°, β = 90.00°, γ = 90.00°
Last column: magnetic moment on the atom in μB.
Sites, in units of the cell vectors:
P: 0.0000 0.0000 0.5000  -0.13
P: 0.5000 0.5000 0.5000  0.55
S: 0.0000 0.5000 0.0000  -0.03
Mo: 0.0000 0.0000 0.0000  0.33
S: 0.5000 0.0000 0.0000  -0.03


(3)
ZrTe2Ir | PBE | relaxed

Values from the calculation:
space group	P2/m (10)
E above lowest polymorph	490.6	meV/atom
E_form (uncorrected)	-0.143	eV per atom

a = 3.7111 Å, b = 3.7485 Å, c = 6.8604 Å
α = 70.32°, β = 90.00°, γ = 90.00°
Sites, in units of the cell vectors:
Te: 0.0000 0.6351 0.5032
Te: 0.0000 0.8649 0.9968
Ir: 0.5000 0.7500 0.7500
Zr: 0.5000 0.2500 0.2500